Record 1
A plane-wave DFT calculation with PBE was carried out for a relaxed structure of CsK2HfCd.

Properties
D(E_F)	3.83	states/eV/f.u.
magnetic moment	1.862	μB/f.u.
VASP energy	-9.8	eV for the cell shown
calculated formation energy	0.82	eV/atom
volume	278	Å³/f.u.

abc: 6.995 6.995 5.675
angles: 90.00 90.00 90.00
Sites, in units of the cell vectors:
Cs1 0.000 0.000 0.000
K1 0.000 0.500 0.500
K2 0.500 0.000 0.500
Hf1 0.500 0.500 0.500
Cd1 0.500 0.500 0.000


Record 2
A plane-wave DFT calculation with PBE was carried out for a relaxed structure of CsHf2MgCd.

Properties
D(E_F)	6.87	states/eV/f.u.
magnetic moment	0.000	μB/f.u.
VASP energy	-12.9	eV for the cell shown
calculated formation energy	2.08	eV/atom
volume	158	Å³/f.u.

abc: 5.361 5.361 5.483
angles: 90.00 90.00 90.00
Sites, in units of the cell vectors:
Cs1 0.000 0.000 0.000
Hf1 0.000 0.500 0.000
Hf2 0.500 0.000 0.000
Mg1 0.000 0.000 0.500
Cd1 0.500 0.500 0.500


Record 3
A plane-wave DFT calculation with PBE was carried out for a relaxed structure of CsHf2CdN.

Properties
D(E_F)	5.37	states/eV/f.u.
magnetic moment	0.000	μB/f.u.
VASP energy	-28.1	eV for the cell shown
volume	143	Å³/f.u.
formation energy (no corrections)	386.1	meV/atom

abc: 4.421 4.421 7.298
angles: 90.00 90.00 90.00
Sites, in units of the cell vectors:
Cs1 0.000 0.000 0.000
Hf1 0.000 0.500 0.500
Hf2 0.500 0.000 0.500
Cd1 0.500 0.500 0.000
N1 0.500 0.500 0.500


Record 4
A plane-wave DFT calculation with PBE was carried out for a relaxed structure of Cs2HfCdS4.

Properties
D(E_F)	0.00	states/eV/f.u.
magnetic moment	0.000	μB/f.u.
VASP energy	-78.5	eV for the cell shown
volume	290	Å³/f.u.
formation energy (no corrections)	-1272.8	meV/atom

abc: 14.644 13.046 7.981
angles: 84.64 62.49 32.86
Sites, in units of the cell vectors:
Cs1 0.053 0.053 0.697
Cs2 0.303 0.303 0.947
Cs3 0.697 0.697 0.053
Cs4 0.947 0.947 0.303
Hf1 0.125 0.125 0.125
Hf2 0.875 0.875 0.875
Cd1 0.375 0.375 0.375
Cd2 0.625 0.625 0.625
S1 0.046 0.309 0.394
S2 0.250 0.606 0.691
S3 0.309 0.046 0.750
S4 0.394 0.750 0.046
S5 0.606 0.250 0.954
S6 0.691 0.954 0.250
S7 0.750 0.394 0.309
S8 0.954 0.691 0.606